# Cs2MnCl4O2

A relaxed structure of Cs2MnCl4O2 (GGA+U, Alexandria).

Summary:
For the final energy, the calculation gives -3.994 eV per atom.

a = 6.3331 Å, b = 7.0220 Å, c = 7.1629 Å
α = 118.87°, β = 98.15°, γ = 93.39°
Closest atoms and distances in Å follow each position.
Space group P-1 (No. 2)
Symmetry-distinct sites (fractional):
Cs  0.2268  0.3337  0.1844 [2 per cell]  2 O 3.31-3.32, 5 Cl 3.57-3.65
Mn  0.0000  0.0000  0.5000 [1 per cell]  2 O 1.73
Cl  0.2182  0.3490  0.6919 [2 per cell]  1 Mn 2.37
Cl  0.2534  0.8621  0.6605 [2 per cell]  1 Mn 2.36
O  0.1264  0.9241  0.2810 [2 per cell]  1 Mn 1.73